(1)
ScCoAg2 | the Alexandria database | PBE | optimized geometry; energy of formation = -0.102 eV/f.u.
1.0
3.8865 0.0000 0.0000
0.0000 3.8865 0.0000
0.0000 0.0000 4.3285
Sc Co Ag
1 1 2
Direct
0.0000 0.0000 0.0000
0.5000 0.5000 0.0000
0.0000 0.5000 0.5000
0.5000 0.0000 0.5000


(2)
Y3TmMg | the Alexandria database | PBE | optimized geometry; energy of formation = -0.026 eV/f.u.
1.0
14.2085 -1.7849 0.0000
14.2085 1.7849 0.0000
-0.4002 0.0000 5.9442
Y Tm Mg
6 2 2
Direct
0.0468 0.0468 0.2125
0.1449 0.1449 0.8739
0.3478 0.3478 0.6263
0.6522 0.6522 0.3737
0.8551 0.8551 0.1261
0.9532 0.9532 0.7875
0.2524 0.2524 0.2484
0.7476 0.7476 0.7516
0.4504 0.4504 0.2976
0.5496 0.5496 0.7024


(3)
RbHF3 | the Alexandria database | PBE | optimized geometry; total DFT energy (no corrections) = -3.023 eV/atom
1.0
3.9341 0.0000 0.0000
0.0000 3.9341 0.0000
0.0000 0.0000 3.9341
Rb H F
1 1 3
Direct
0.0000 0.0000 0.0000
0.5000 0.5000 0.5000
0.0000 0.5000 0.5000
0.5000 0.0000 0.5000
0.5000 0.5000 0.0000


(4)
CaP2 | the Alexandria database | PBE | optimized geometry; energy of formation = -1.589 eV/f.u.
1.0
3.7262 0.0000 0.0000
0.0000 6.8374 0.0000
0.0000 0.0000 5.3771
Ca P
2 4
Direct
0.0000 0.0000 0.0000
0.5000 0.5000 0.5000
0.2474 0.0949 0.5000
0.2526 0.5949 0.0000
0.7474 0.4051 0.0000
0.7526 0.9051 0.5000


(5)
NpMn6Ge6 | the Alexandria database | PBE | optimized geometry; energy of formation = -2.302 eV/f.u.
1.0
-2.5826 4.0933 4.4530
2.5826 -4.0933 4.4530
2.5826 4.0933 -4.4530
Np Mn Ge
1 6 6
Direct
0.0000 0.0000 0.0000
0.0000 0.0000 0.5000
0.0000 0.5000 0.0000
0.2531 0.5000 0.7531
0.5000 0.0000 0.0000
0.5000 0.5000 0.5000
0.7469 0.5000 0.2469
0.1648 0.6648 0.5000
0.3354 0.3354 0.0000
0.3455 0.0000 0.3455
0.6545 0.0000 0.6545
0.6646 0.6646 0.0000
0.8352 0.3352 0.5000


(6)
IrPt3 | the Alexandria database | PBE | optimized geometry; energy of formation = 0.388 eV/f.u.
1.0
1.3618 -2.3997 0.0000
1.3618 2.3997 0.0000
0.0000 0.0000 9.5763
Ir Pt
1 3
Direct
0.0000 0.0000 0.0000
0.0000 0.0000 0.5000
0.5000 0.5000 0.2451
0.5000 0.5000 0.7549


(7)
Y8Ge3SbTe4 | the Alexandria database | PBE | optimized geometry; energy relative to the elements, uncorrected = -120.1 kJ per mole of atoms
1.0
4.2883 2.4758 7.1187
-4.2883 2.4758 7.1187
0.0000 -4.9517 7.1187
Y Ge Sb Te
8 3 1 4
Direct
0.2298 0.7472 0.7472
0.2400 0.2400 0.2400
0.2528 0.2528 0.7702
0.2528 0.7702 0.2528
0.7472 0.2298 0.7472
0.7472 0.7472 0.2298
0.7600 0.7600 0.7600
0.7702 0.2528 0.2528
0.0000 0.0000 0.5000
0.0000 0.5000 0.0000
0.5000 0.0000 0.0000
0.5000 0.5000 0.5000
0.0000 0.0000 0.0000
0.0000 0.5000 0.5000
0.5000 0.0000 0.5000
0.5000 0.5000 0.0000


(8)
Ce2AgC | the Alexandria database | PBE | optimized geometry; energy of formation = -0.493 eV/f.u.
1.0
1.7606 1.0165 8.0848
-1.7606 1.0165 8.0848
0.0000 -2.0329 8.0848
Ce Ag C
2 1 1
Direct
0.0000 0.0000 0.0000
0.2140 0.2140 0.2140
0.7729 0.7729 0.7729
0.6072 0.6072 0.6072


(9)
Pr8Sm2Ho | the Alexandria database | PBE | optimized geometry; energy of formation = 1.710 eV/f.u.
1.0
8.4887 -3.4581 0.0000
8.4887 3.4581 0.0000
-1.3008 0.0000 6.6995
Pr Sm Ho
8 2 1
Direct
0.0940 0.0940 0.9175
0.1519 0.6766 0.5962
0.2562 0.2562 0.6807
0.3234 0.8481 0.4038
0.6766 0.1519 0.5962
0.7438 0.7438 0.3193
0.8481 0.3234 0.4038
0.9060 0.9060 0.0825
0.3061 0.3061 0.1918
0.6939 0.6939 0.8082
0.5000 0.5000 0.0000


(10)
AlTcAu2 | the Alexandria database | PBE | optimized geometry; energy of formation = 0.458 eV/f.u.
1.0
2.8045 0.0000 0.0000
0.0000 4.0185 0.0000
0.0000 0.0000 5.7654
Al Tc Au
1 1 2
Direct
0.0000 0.0000 0.0000
0.0000 0.0000 0.5000
0.5000 0.5000 0.2477
0.5000 0.5000 0.7523


(11)
PmNd2Dy2Er2 | the Alexandria database | PBE | optimized geometry; energy of formation = 1.028 eV/f.u.
1.0
8.8687 -1.7518 0.0000
8.8687 1.7518 0.0000
-3.8432 0.0000 7.5626
Pm Nd Dy Er
1 2 2 2
Direct
0.0000 0.0000 0.0000
0.3522 0.3522 0.1149
0.6478 0.6478 0.8851
0.4293 0.4293 0.5942
0.5707 0.5707 0.4058
0.2117 0.2117 0.3003
0.7883 0.7883 0.6997


(12)
LiVTcAs | the Alexandria database | PBE | optimized geometry; energy of formation = -1.101 eV/f.u.
1.0
0.0000 2.9886 2.9886
2.9886 0.0000 2.9886
2.9886 2.9886 0.0000
Li V Tc As
1 1 1 1
Direct
0.0000 0.0000 0.0000
0.2500 0.2500 0.2500
0.5000 0.5000 0.5000
0.7500 0.7500 0.7500